DFT (PBE+U) results for a geometry-optimized SrCoPtO6 structure.

Properties
energy	-0.4250	Ry/atom
spin magnetization	5.86	Bohr magnetons per cell

```
SrCoPtO6
1.0
5.1078 0.0000 0.0000
-2.5539 4.4235 0.0000
0.0000 0.0000 10.8158
Sr Co Pt O
2 2 2 12
Cartesian
0.0000 0.0000 0.0000
0.0000 0.0000 5.4079
0.0000 2.9490 2.7039
2.5539 1.4745 8.1118
0.0000 2.9490 8.1118
2.5539 1.4745 2.7039
-0.8996 1.7027 1.6406
-1.5291 2.7931 3.7673
0.8996 1.7027 3.7673
-0.6295 4.3512 1.6406
1.9244 0.0723 7.0485
1.0248 1.6304 9.1752
1.5291 2.7931 1.6406
0.6295 4.3512 3.7673
3.1834 0.0723 9.1752
1.6543 2.7208 7.0485
4.0830 1.6304 7.0485
3.4535 2.7208 9.1752
```